Na4TlCd2Sn | GGA-PBE | optimized geometry

Unit cell a=5.197 b=5.197 c=7.380 alpha=90.00 beta=90.00 gamma=90.00
Atoms (fractional coordinates):
1 Na 0.000 0.000 0.000
2 Na 0.000 0.500 0.249
3 Na 0.500 0.000 0.751
4 Na 0.500 0.500 0.500
5 Tl 0.500 0.500 0.000
6 Cd 0.000 0.500 0.750
7 Cd 0.500 0.000 0.250
8 Sn 0.000 0.000 0.500

Electronic total energy   -1.839 eV/atom

=====

NaTaCdTe3 | GGA-PBE | optimized geometry

Unit cell a=7.780 b=7.780 c=10.891 alpha=90.00 beta=90.00 gamma=149.96
Atoms (fractional coordinates):
1 Na 0.231 0.769 0.750
2 Na 0.769 0.231 0.250
3 Ta 0.000 0.000 0.000
4 Ta 0.000 0.000 0.500
5 Cd 0.461 0.539 0.250
6 Cd 0.539 0.461 0.750
7 Te 0.091 0.909 0.250
8 Te 0.363 0.637 0.033
9 Te 0.363 0.637 0.467
10 Te 0.637 0.363 0.533
11 Te 0.637 0.363 0.967
12 Te 0.909 0.091 0.750

M_tot   1.72 μB per formula unit
Electronic total energy   -4.143 eV/atom